The following is a DFT calculation (PBE) of crystalline P3C4 at its relaxed geometry.

Lattice parameters (Å, degrees): 5.561 5.561 2.675 90.00 90.00 120.00
Fractional coordinates of all 7 atoms:
P 0.000 0.500 0.000
P 0.500 0.000 0.000
P 0.500 0.500 0.000
C 0.000 0.000 0.257
C 0.000 0.000 0.743
C 0.333 0.667 0.500
C 0.667 0.333 0.500

Values from the calculation:
**SG**: No. 191
**E**: -6.010 eV/atom
**Energy of formation**: 152 kJ/mol of atoms